Record 1
Below is Ba6Hg2IrAu after structural relaxation, with properties calculated at the PBE level.

Calculated values
energy of formation from the pure elements: -412 meV per atom
density of states at the Fermi level: 11.599 states/eV/cell
total energy: -56.81 eV/cell
total magnetization: 0.00 μB/f.u.
symmetry: P2_1/c

Cell: 8.0873 8.9439 14.3959 Å, 90.00 123.33 90.00°
Last column: nearest neighbours and their distance in Å.
Fractional coordinates of all 20 atoms:
Ba 0.1095 0.0322 0.2405  1 Ir 3.08, 1 Au 3.32
Ba 0.1095 0.4678 0.7405  1 Ir 3.08, 1 Au 3.32
Ba 0.2270 0.6975 0.0619  1 Ir 3.11, 1 Au 3.31
Ba 0.2270 0.8025 0.5619  1 Ir 3.11, 1 Au 3.31
Ba 0.3738 0.1742 0.0605  1 Ir 3.07, 1 Au 3.36
Ba 0.3738 0.3258 0.5605  1 Ir 3.07, 1 Au 3.36
Ba 0.6262 0.6742 0.4395  1 Ir 3.07, 1 Au 3.36
Ba 0.6262 0.8258 0.9395  1 Ir 3.07, 1 Au 3.36
Ba 0.7730 0.1975 0.4381  1 Ir 3.11, 1 Au 3.31
Ba 0.7730 0.3025 0.9381  1 Ir 3.11, 1 Au 3.31
Ba 0.8905 0.5322 0.2595  1 Ir 3.08, 1 Au 3.32
Ba 0.8905 0.9678 0.7595  1 Ir 3.08, 1 Au 3.32
Hg 0.2996 0.1063 0.7508  6 Ba 3.55-3.70
Hg 0.2996 0.3937 0.2508  6 Ba 3.55-3.70
Hg 0.7004 0.6063 0.7492  6 Ba 3.55-3.70
Hg 0.7004 0.8937 0.2492  6 Ba 3.55-3.70
Ir 0.0000 0.0000 0.0000  6 Ba 3.07-3.11
Ir 0.0000 0.5000 0.5000  6 Ba 3.07-3.11
Au 0.5000 0.0000 0.5000  6 Ba 3.31-3.36
Au 0.5000 0.5000 0.0000  6 Ba 3.31-3.36

Record 2
Below is Pm5Dy12Mg2 after structural relaxation, with properties calculated at the PBE level.

Calculated values
energy of formation from the pure elements: 94 meV per atom
density of states at the Fermi level: 27.750 states/eV/cell
total energy: -80.39 eV/cell
total magnetization: 0.00 μB/f.u.
symmetry: C2/m

Cell: 9.0457 9.0457 8.4471 Å, 91.56 91.56 61.42°
Last column: nearest neighbours and their distance in Å.
Fractional coordinates of all 19 atoms:
Pm 0.0000 0.0000 0.0000  10 Dy 3.37-3.75, 2 Pm 3.66
Pm 0.2331 0.2331 0.0728  8 Dy 3.34-3.61, 2 Pm 3.53-3.66
Pm 0.2936 0.2936 0.4792  8 Dy 3.46-3.64, 1 Pm 3.53, 2 Mg 3.56
Pm 0.7064 0.7064 0.5208  8 Dy 3.46-3.64, 1 Pm 3.53, 2 Mg 3.56
Pm 0.7669 0.7669 0.9272  8 Dy 3.34-3.61, 2 Pm 3.53-3.66
Dy 0.0362 0.6732 0.2614  1 Mg 3.29, 4 Dy 3.35-3.61, 4 Pm 3.52-3.64
Dy 0.0761 0.0761 0.3783  3 Dy 3.18-3.43, 2 Pm 3.37-3.46, 2 Mg 3.47
Dy 0.1810 0.5642 0.8241  5 Dy 3.37-3.59, 4 Pm 3.42-3.75, 1 Mg 3.44
Dy 0.3268 0.9638 0.7386  1 Mg 3.29, 4 Dy 3.35-3.61, 4 Pm 3.52-3.64
Dy 0.4358 0.8190 0.1759  5 Dy 3.37-3.59, 4 Pm 3.42-3.75, 1 Mg 3.44
Dy 0.4431 0.4431 0.1656  2 Mg 3.31, 2 Pm 3.34-3.58, 7 Dy 3.36-3.53
Dy 0.5569 0.5569 0.8344  2 Mg 3.31, 2 Pm 3.34-3.58, 7 Dy 3.36-3.53
Dy 0.5642 0.1810 0.8241  5 Dy 3.37-3.59, 4 Pm 3.42-3.75, 1 Mg 3.44
Dy 0.6732 0.0362 0.2614  1 Mg 3.29, 4 Dy 3.35-3.61, 4 Pm 3.52-3.64
Dy 0.8190 0.4358 0.1759  5 Dy 3.37-3.59, 4 Pm 3.42-3.75, 1 Mg 3.44
Dy 0.9239 0.9239 0.6217  3 Dy 3.18-3.43, 2 Pm 3.37-3.46, 2 Mg 3.47
Dy 0.9638 0.3268 0.7386  1 Mg 3.29, 4 Dy 3.35-3.61, 4 Pm 3.52-3.64
Mg 0.3333 0.6667 0.5000  1 Mg 3.08, 6 Dy 3.29-3.44
Mg 0.6667 0.3333 0.5000  1 Mg 3.08, 6 Dy 3.29-3.44

Record 3
Below is AcSm12Ho7 after structural relaxation, with properties calculated at the PBE level.

Calculated values
energy of formation from the pure elements: 652 meV per atom
density of states at the Fermi level: 29.120 states/eV/cell
total energy: -79.74 eV/cell
total magnetization: 0.00 μB/f.u.
symmetry: Im-3

Cell: 9.9892 9.9892 9.9892 Å, 109.47 109.47 109.47°
Last column: nearest neighbours and their distance in Å.
Fractional coordinates of all 20 atoms:
Ac 0.0000 0.0000 0.0000  12 Sm 4.28
Sm 0.0007 0.2629 0.7378  2 Ho 2.89
Sm 0.2622 0.5252 0.2629  2 Ho 2.89
Sm 0.2622 0.9993 0.7371  2 Ho 2.89
Sm 0.2629 0.2622 0.5252  2 Ho 2.89
Sm 0.2629 0.7378 0.0007  2 Ho 2.89
Sm 0.4748 0.7371 0.7378  2 Ho 2.89
Sm 0.5252 0.2629 0.2622  2 Ho 2.89
Sm 0.7371 0.2622 0.9993  2 Ho 2.89
Sm 0.7371 0.7378 0.4748  2 Ho 2.89
Sm 0.7378 0.0007 0.2629  2 Ho 2.89
Sm 0.7378 0.4748 0.7371  2 Ho 2.89
Sm 0.9993 0.7371 0.2622  2 Ho 2.89
Ho 0.0000 0.0000 0.5000  6 Sm 2.89
Ho 0.0000 0.5000 0.0000  6 Sm 2.89
Ho 0.0000 0.5000 0.5000  12 Sm 3.87-4.09
Ho 0.5000 0.0000 0.0000  6 Sm 2.89
Ho 0.5000 0.0000 0.5000  12 Sm 3.87-4.09
Ho 0.5000 0.5000 0.0000  12 Sm 3.87-4.09
Ho 0.5000 0.5000 0.5000  6 Sm 2.89

Record 4
Below is La5DyGa4 after structural relaxation, with properties calculated at the PBE level.

Calculated values
energy of formation from the pure elements: -361 meV per atom
density of states at the Fermi level: 10.077 states/eV/cell
total energy: -44.96 eV/cell
total magnetization: 0.09 μB/f.u.
symmetry: C2/m

Cell: 8.8031 8.8031 8.4649 Å, 101.74 101.74 28.08°
Last column: nearest neighbours and their distance in Å.
Fractional coordinates of all 10 atoms:
La 0.0000 0.0000 0.0000  6 Ga 3.13-3.26
La 0.3259 0.3259 0.3823  4 Ga 3.15-3.36
La 0.3276 0.3276 0.9283  3 Ga 3.20-3.24
La 0.6724 0.6724 0.0717  3 Ga 3.20-3.24
La 0.6741 0.6741 0.6177  4 Ga 3.15-3.36
Dy 0.0000 0.0000 0.5000  6 Ga 2.98-3.01
Ga 0.1380 0.1380 0.3301  2 Ga 2.77, 1 Dy 3.01
Ga 0.4678 0.4678 0.7239  2 Ga 2.77, 2 Dy 2.98
Ga 0.5322 0.5322 0.2761  2 Ga 2.77, 2 Dy 2.98
Ga 0.8620 0.8620 0.6699  2 Ga 2.77, 1 Dy 3.01

Record 5
Below is InTe2MoN after structural relaxation, with properties calculated at the PBE level.

Calculated values
density of states at the Fermi level: 2.562 states/eV/cell
formation energy without anion corrections: 1362.6 meV per atom
total energy: -21.37 eV/cell
total magnetization: 4.96 μB/f.u.
symmetry: P4/mmm

Cell: 5.7645 5.7645 4.0198 Å, 90.00 90.00 90.00°
Last column: nearest neighbours and their distance in Å.
Fractional coordinates of all 5 atoms:
In 0.0000 0.0000 0.0000  2 N 2.01
Te 0.0000 0.5000 0.0000  2 In 2.88
Te 0.5000 0.0000 0.0000  2 In 2.88
Mo 0.5000 0.5000 0.5000  8 Te 3.51
N 0.0000 0.0000 0.5000  2 In 2.01

Record 6
Below is LiCa2Mg after structural relaxation, with properties calculated at the PBE level.

Calculated values
energy of formation from the pure elements: -31 meV per atom
density of states at the Fermi level: 3.054 states/eV/cell
total energy: -7.64 eV/cell
total magnetization: 0.00 μB/f.u.
symmetry: P4mm

Cell: 3.8064 3.8064 8.5158 Å, 90.00 90.00 90.00°
Last column: nearest neighbours and their distance in Å.
Fractional coordinates of all 4 atoms:
Li 0.0000 0.0000 0.0000  4 Mg 3.02
Ca 0.0000 0.0000 0.4151  4 Mg 3.45, 1 Li 3.54, 4 Ca 3.81
Ca 0.5000 0.5000 0.7487  4 Li 3.44, 1 Mg 3.51, 4 Ca 3.81
Mg 0.5000 0.5000 0.1614  4 Li 3.02